First-principles (PBE) data for an optimized crystal structure of Th5Co2Sn2, as listed in Alexandria via LeMat-Bulk.

Computed properties:
**Energy relative to the elements**: -240 meV per atom
**VASP energy**: -6.831 eV/atom
**Spin magnetization**: 0.000 μB per atom

Geometry as CIF:
```
data_Th5Co2Sn2
_chemical_formula_sum 'Th20 Co8 Sn8'
_space_group_name_H-M_alt 'I m m a'
_space_group_IT_number 74
_space_group_name_Hall '-I 2b 2'
_cell_length_a 6.8775
_cell_length_b 21.9981
_cell_length_c 7.0754
_cell_angle_alpha 90.00
_cell_angle_beta 90.00
_cell_angle_gamma 90.00
loop_
_atom_site_label
_atom_site_type_symbol
_atom_site_fract_x
_atom_site_fract_y
_atom_site_fract_z
_atom_site_occupancy
Th1 Th 0.0000 0.1385 0.0120 1
Th2 Th 0.0000 0.2500 0.5847 1
Th3 Th 0.2500 0.0022 0.7500 1
Co1 Co 0.0000 0.0000 0.0000 1
Co2 Co 0.0000 0.2500 0.9441 1
Sn1 Sn 0.0000 0.1073 0.4931 1
```